[1]
Material: HoMg5Ag6
Method: DFT, PBE
State: optimized geometry

Properties
ΔH_f (0 K), eV per atom: -0.238
Calculated density, Mg/m³: 6.61

abc: 4.793 6.842 7.521
angles: 90.00 107.94 90.00
Fractional positions:
Ho 0.000 0.000 0.000
Mg 0.000 0.500 0.000
Mg 0.328 0.000 0.661
Mg 0.333 0.500 0.675
Mg 0.667 0.500 0.325
Mg 0.672 0.000 0.339
Ag 0.178 0.262 0.344
Ag 0.178 0.738 0.344
Ag 0.500 0.262 0.000
Ag 0.500 0.738 0.000
Ag 0.822 0.262 0.656
Ag 0.822 0.738 0.656



[2]
Material: Ho6MgAg5
Method: DFT, PBE
State: optimized geometry

Properties
ΔH_f (0 K), eV per atom: -0.277
Calculated density, Mg/m³: 8.91

abc: 8.937 8.937 5.157
angles: 106.69 106.69 47.72
Fractional positions:
Ho 0.076 0.584 0.330
Ho 0.240 0.760 0.000
Ho 0.416 0.924 0.670
Ho 0.584 0.076 0.330
Ho 0.760 0.240 0.000
Ho 0.924 0.416 0.670
Mg 0.500 0.500 0.500
Ag 0.000 0.000 0.500
Ag 0.167 0.167 0.167
Ag 0.344 0.344 0.845
Ag 0.656 0.656 0.155
Ag 0.833 0.833 0.833



[3]
Material: Ho4MgAg5
Method: DFT, PBE
State: optimized geometry

Properties
ΔH_f (0 K), eV per atom: -0.301
Calculated density, Mg/m³: 8.92

abc: 3.549 3.549 18.073
angles: 90.00 90.00 90.00
Fractional positions:
Ho 0.000 0.000 0.103
Ho 0.000 0.000 0.309
Ho 0.000 0.000 0.691
Ho 0.000 0.000 0.897
Mg 0.000 0.000 0.500
Ag 0.500 0.500 0.000
Ag 0.500 0.500 0.206
Ag 0.500 0.500 0.411
Ag 0.500 0.500 0.589
Ag 0.500 0.500 0.794



[4]
Material: Ho8MgAg2
Method: DFT, PBE
State: optimized geometry

Properties
ΔH_f (0 K), eV per atom: -0.087
Calculated density, Mg/m³: 8.51

abc: 8.394 8.394 8.305
angles: 118.15 118.15 36.81
Fractional positions:
Ho 0.065 0.065 0.227
Ho 0.145 0.145 0.702
Ho 0.315 0.315 0.542
Ho 0.399 0.399 0.034
Ho 0.601 0.601 0.966
Ho 0.685 0.685 0.458
Ho 0.855 0.855 0.298
Ho 0.935 0.935 0.773
Mg 0.500 0.500 0.500
Ag 0.226 0.226 0.127
Ag 0.774 0.774 0.873



[5]
Material: Ho3Mg2Ag
Method: DFT, PBE
State: optimized geometry

Properties
ΔH_f (0 K), eV per atom: -0.152
Calculated density, Mg/m³: 7.03

abc: 3.732 3.732 11.044
angles: 90.00 90.00 90.00
Fractional positions:
Ho 0.000 0.000 0.000
Ho 0.000 0.000 0.342
Ho 0.000 0.000 0.658
Mg 0.500 0.500 0.167
Mg 0.500 0.500 0.833
Ag 0.500 0.500 0.500



[6]
Material: HoMgAg
Method: DFT, PBE
State: optimized geometry

Properties
ΔH_f (0 K), eV per atom: -0.266
Calculated density, Mg/m³: 7.03

abc: 7.784 7.784 4.012
angles: 90.00 90.00 120.00
Fractional positions:
Ho 0.000 0.588 0.000
Ho 0.412 0.412 0.000
Ho 0.588 0.000 0.000
Mg 0.000 0.249 0.500
Mg 0.249 0.000 0.500
Mg 0.751 0.751 0.500
Ag 0.000 0.000 0.000
Ag 0.333 0.667 0.500
Ag 0.667 0.333 0.500



[7]
Material: Ho3Mg7Ag2
Method: DFT, PBE
State: optimized geometry

Properties
ΔH_f (0 K), eV per atom: -0.105
Calculated density, Mg/m³: 5.11

abc: 10.071 10.071 10.071
angles: 34.10 34.10 34.10
Fractional positions:
Ho 0.000 0.000 0.000
Ho 0.145 0.145 0.145
Ho 0.855 0.855 0.855
Mg 0.076 0.581 0.581
Mg 0.419 0.419 0.924
Mg 0.419 0.924 0.419
Mg 0.500 0.500 0.500
Mg 0.581 0.076 0.581
Mg 0.581 0.581 0.076
Mg 0.924 0.419 0.419
Ag 0.334 0.334 0.334
Ag 0.666 0.666 0.666



[8]
Material: HoMg3Ag2
Method: DFT, PBE
State: optimized geometry

Properties
ΔH_f (0 K), eV per atom: -0.206
Calculated density, Mg/m³: 5.65

abc: 4.393 8.531 7.120
angles: 90.00 90.00 90.00
Fractional positions:
Ho 0.000 0.076 0.000
Ho 0.000 0.924 0.500
Mg 0.000 0.311 0.612
Mg 0.000 0.689 0.112
Mg 0.500 0.200 0.324
Mg 0.500 0.419 0.940
Mg 0.500 0.581 0.440
Mg 0.500 0.800 0.824
Ag 0.000 0.384 0.228
Ag 0.000 0.616 0.728
Ag 0.500 0.124 0.713
Ag 0.500 0.876 0.213



[9]
Material: HoMg4Ag2
Method: DFT, PBE
State: optimized geometry

Properties
ΔH_f (0 K), eV per atom: -0.153
Calculated density, Mg/m³: 5.08

abc: 8.533 8.533 4.290
angles: 90.00 90.00 90.00
Fractional positions:
Ho 0.000 0.000 0.000
Ho 0.500 0.500 0.500
Mg 0.092 0.339 0.500
Mg 0.161 0.592 0.000
Mg 0.339 0.092 0.500
Mg 0.408 0.839 0.000
Mg 0.592 0.161 0.000
Mg 0.661 0.908 0.500
Mg 0.839 0.408 0.000
Mg 0.908 0.661 0.500
Ag 0.201 0.799 0.500
Ag 0.299 0.299 0.000
Ag 0.701 0.701 0.000
Ag 0.799 0.201 0.500



[10]
Material: HoMg3Ag
Method: DFT, PBE
State: optimized geometry

Properties
ΔH_f (0 K), eV per atom: -0.131
Calculated density, Mg/m³: 4.87

abc: 9.446 3.892 12.815
angles: 90.00 90.00 90.00
Fractional positions:
Ho 0.164 0.250 0.007
Ho 0.336 0.750 0.507
Ho 0.664 0.250 0.493
Ho 0.836 0.750 0.993
Mg 0.063 0.250 0.415
Mg 0.090 0.750 0.220
Mg 0.158 0.750 0.792
Mg 0.342 0.250 0.292
Mg 0.410 0.250 0.720
Mg 0.437 0.750 0.915
Mg 0.563 0.250 0.085
Mg 0.590 0.750 0.280
Mg 0.658 0.750 0.708
Mg 0.842 0.250 0.208
Mg 0.910 0.250 0.780
Mg 0.937 0.750 0.585
Ag 0.143 0.250 0.629
Ag 0.357 0.750 0.129
Ag 0.643 0.250 0.871
Ag 0.857 0.750 0.371



[11]
Material: HoMg2Ag2
Method: DFT, PBE
State: optimized geometry

Properties
ΔH_f (0 K), eV per atom: -0.168
Calculated density, Mg/m³: 6.10

abc: 4.944 4.944 5.521
angles: 90.00 90.00 120.00
Fractional positions:
Ho 0.000 0.000 0.000
Mg 0.333 0.667 0.364
Mg 0.667 0.333 0.636
Ag 0.333 0.667 0.857
Ag 0.667 0.333 0.143



[12]
Material: HoMgAg
Method: DFT, PBE
State: optimized geometry

Properties
ΔH_f (0 K), eV per atom: -0.067
Calculated density, Mg/m³: 6.23

abc: 6.817 6.817 6.817
angles: 90.00 90.00 90.00
Fractional positions:
Ho 0.000 0.000 0.000
Ho 0.000 0.500 0.500
Ho 0.500 0.000 0.500
Ho 0.500 0.500 0.000
Mg 0.000 0.000 0.500
Mg 0.000 0.500 0.000
Mg 0.500 0.000 0.000
Mg 0.500 0.500 0.500
Ag 0.250 0.250 0.250
Ag 0.250 0.750 0.750
Ag 0.750 0.250 0.750
Ag 0.750 0.750 0.250



The highest calculated density belongs to which entry? Ho4MgAg5